(1)
DFT (GGA-PBE) results for SrCuN after structural relaxation.

Structure (POSCAR):
```
SrCuN
1.0
3.9632 0.0000 0.0000
0.0000 3.6913 0.0000
0.0000 -1.8456 3.1968
Sr Cu N
1 1 1
Cartesian
2.6413 1.8457 1.0656
0.6602 0.0000 2.1312
0.6617 0.0000 0.0000
```

Values from the calculation:
Raw total energy   -4.7485 eV/atom
Crystal system   hexagonal

---

(2)
DFT (GGA-PBE) results for Pm3SnBr2 after structural relaxation.

Structure (POSCAR):
```
Pm3SnBr2
1.0
-0.0054 6.3068 1.2246
-7.9241 0.7837 -4.0713
2.5915 -1.6293 8.4030
Pm Sn Br
6 2 4
Cartesian
1.3031 3.3955 7.7979
0.2060 4.1454 3.9309
-2.9767 1.7229 -0.4601
-2.3613 3.7383 6.0164
-5.5440 1.3158 1.6254
-6.6412 2.0657 -2.2416
-0.6491 0.6907 4.8666
-4.6889 4.7705 0.6897
-1.3254 -0.2102 1.0766
-1.3281 2.9432 1.6889
-4.0072 -0.6355 3.2551
-4.0099 2.5179 3.8674
```

Values from the calculation:
Raw total energy   -4.3974 eV/atom
Crystal system   orthorhombic

---

(3)
DFT (GGA-PBE) results for ScZnSn2 after structural relaxation.

Structure (POSCAR):
```
ScZnSn2
1.0
-3.2948 -2.4714 -0.7385
1.9418 -3.3161 2.4338
-2.0227 1.5737 3.7580
Sc Zn Sn
1 1 2
Cartesian
-1.6879 -2.1069 2.7266
-1.6474 -1.2357 -0.3693
-1.0114 0.7868 1.8790
0.9709 -1.6580 1.2169
```

Values from the calculation:
Raw total energy   -4.2222 eV/atom
Crystal system   tetragonal
E_form   -30.8 kJ per mole of atoms

---

(4)
DFT (GGA-PBE) results for LiSm2HfS5 after structural relaxation.

Structure (POSCAR):
```
LiSm2HfS5
1.0
3.8300 0.0000 0.0000
-1.9150 8.1360 0.0000
0.0000 0.0000 11.6696
Li Sm Hf S
2 4 2 10
Cartesian
1.9150 0.7486 11.1535
0.0000 7.3874 5.3186
1.9150 6.0074 9.3790
0.0000 1.7448 8.0212
0.0000 2.1286 3.5442
1.9150 6.3912 2.1864
1.9150 4.9141 5.9951
0.0000 3.2219 0.1603
0.0000 5.8199 0.0171
1.9150 3.0968 10.0488
0.0000 8.0534 9.0434
0.0000 4.6003 7.7579
1.9150 7.2697 6.5475
1.9150 2.3161 5.8520
0.0000 5.0392 4.2140
1.9150 0.0826 3.2086
1.9150 3.5357 1.9231
0.0000 0.8663 0.7127
```

Values from the calculation:
Raw total energy   -6.4206 eV/atom
Crystal system   orthorhombic

---

(5)
DFT (GGA-PBE) results for KTi3Si after structural relaxation.

Structure (POSCAR):
```
KTi3Si
1.0
4.4372 0.0000 0.0000
0.0000 4.4372 0.0000
0.0000 0.0000 4.4372
K Si Ti
1 1 3
Cartesian
0.0000 0.0000 0.0000
2.2186 2.2186 2.2186
0.0000 2.2186 0.0000
0.0000 0.0000 2.2186
2.2186 0.0000 0.0000
```

Values from the calculation:
Raw total energy   -4.1260 eV/atom
Crystal system   cubic
ΔE to the lowest computed polymorph   1199 meV per atom

---

(6)
DFT (GGA-PBE) results for TaHgBr2 after structural relaxation.

Structure (POSCAR):
```
TaHgBr2
1.0
4.2569 0.0000 0.0000
0.0000 4.7374 0.0000
0.0000 0.0000 4.7374
Hg Br Ta
1 2 1
Cartesian
2.1284 2.3687 0.0000
0.0000 0.0000 0.0000
0.0000 2.3687 2.3687
2.1284 0.0000 2.3687
```

Values from the calculation:
Raw total energy   -3.1082 eV/atom
Crystal system   tetragonal
ΔE to the lowest computed polymorph   1036 meV per atom

---

- Which value of raw total energy does entry 5 give?
  -4.1260 eV/atom